(1)
# SrCr2SiB

SrCr2SiB after structural relaxation (GGA-PBE, Alexandria via LeMat-Bulk).

Magnetic moment in μB per atom: 1.156
Density of states at the Fermi level in states/eV/cell: 4.30
Uncorrected formation energy in eV per atom: 1.30
Space-group type: P4/mmm (123)

a = 4.588 Å, b = 5.892 Å, c = 4.588 Å
α = 90.00°, β = 90.00°, γ = 90.00°
Atoms (fractional coordinates):
Cr1 0.500 0.000 0.000
Cr2 0.000 0.000 0.500
Si1 0.000 0.000 0.000
Sr1 0.000 0.500 0.000
B1 0.500 0.500 0.500


(2)
# Y4SnSb3

Y4SnSb3 after structural relaxation (GGA-PBE, Alexandria via LeMat-Bulk).

Magnetic moment in μB per atom: 0.000
Density of states at the Fermi level in states/eV/cell: 3.86
Uncorrected formation energy in eV per atom: -1.00
Space-group type: Pm-3m (221)

a = 6.215 Å, b = 6.215 Å, c = 6.215 Å
α = 90.00°, β = 90.00°, γ = 90.00°
Atoms (fractional coordinates):
Y1 0.000 0.500 0.000
Y2 0.500 0.500 0.500
Y3 0.500 0.000 0.000
Y4 0.000 0.000 0.500
Sb1 0.500 0.000 0.500
Sb2 0.000 0.500 0.500
Sb3 0.500 0.500 0.000
Sn1 0.000 0.000 0.000


(3)
# TaIn2Rh

TaIn2Rh after structural relaxation (GGA-PBE, Alexandria via LeMat-Bulk).

Magnetic moment in μB per atom: 0.000
Density of states at the Fermi level in states/eV/cell: 2.75
Space-group type: F-43m (216)
Energy of formation in eV per atom: 0.19

a = 4.739 Å, b = 4.739 Å, c = 4.739 Å
α = 60.00°, β = 60.00°, γ = 60.00°
Atoms (fractional coordinates):
Rh1 0.500 0.500 0.500
Ta1 0.250 0.250 0.250
In1 0.750 0.750 0.750
In2 0.000 0.000 0.000


(4)
# Tm5Mg4Al

Tm5Mg4Al after structural relaxation (GGA-PBE, Alexandria via LeMat-Bulk).

Magnetic moment in μB per atom: 0.000
Density of states at the Fermi level in states/eV/cell: 10.39
Space-group type: P4/mmm (123)
Energy of formation in eV per atom: -0.13

a = 3.691 Å, b = 3.691 Å, c = 18.740 Å
α = 90.00°, β = 90.00°, γ = 90.00°
Atoms (fractional coordinates):
Tm1 0.500 0.500 0.091
Tm2 0.500 0.500 0.296
Tm3 0.500 0.500 0.909
Tm4 0.500 0.500 0.704
Tm5 0.500 0.500 0.500
Mg1 0.000 0.000 0.806
Mg2 0.000 0.000 0.194
Mg3 0.000 0.000 0.398
Mg4 0.000 0.000 0.602
Al1 0.000 0.000 0.000


(5)
# AcPmNiOs

AcPmNiOs after structural relaxation (GGA-PBE, Alexandria via LeMat-Bulk).

Magnetic moment in μB per atom: 0.000
Density of states at the Fermi level in states/eV/cell: 3.18
Space-group type: F-43m (216)
Energy of formation in eV per atom: 0.01

a = 5.072 Å, b = 5.072 Å, c = 5.072 Å
α = 60.00°, β = 60.00°, γ = 60.00°
Atoms (fractional coordinates):
Ni1 0.750 0.750 0.750
Ac1 0.500 0.500 0.500
Pm1 0.000 0.000 0.000
Os1 0.250 0.250 0.250


(6)
# ReGe2Pt

ReGe2Pt after structural relaxation (GGA-PBE, Alexandria via LeMat-Bulk).

Magnetic moment in μB per atom: 0.094
Density of states at the Fermi level in states/eV/cell: 6.31
Energy above the most stable polymorph in this dataset in kcal/mol of atoms: 12.05
Space-group type: I-42d (122)
Energy of formation in eV per atom: 0.56

a = 5.705 Å, b = 5.705 Å, c = 6.764 Å
α = 65.05°, β = 65.05°, γ = 90.00°
Atoms (fractional coordinates):
Ge1 0.875 0.872 0.750
Ge2 0.375 0.378 0.750
Ge3 0.622 0.125 0.250
Ge4 0.128 0.625 0.250
Re1 0.250 0.750 0.500
Re2 0.500 0.500 0.000
Pt1 0.750 0.250 0.500
Pt2 0.000 0.000 0.000


(7)
# Gd2RuCl

Gd2RuCl after structural relaxation (GGA-PBE, Alexandria via LeMat-Bulk).

Magnetic moment in μB per atom: 3.609
Density of states at the Fermi level in states/eV/cell: 1.82
Uncorrected formation energy in eV per atom: -0.90
Space-group type: R-3m (166)

a = 3.969 Å, b = 3.969 Å, c = 7.818 Å
α = 75.29°, β = 75.29°, γ = 60.00°
Atoms (fractional coordinates):
Gd1 0.735 0.735 0.795
Gd2 0.265 0.265 0.205
Ru1 0.000 0.000 0.000
Cl1 0.500 0.500 0.500